First-principles (PBE) data for crystalline LaMnPt at its relaxed geometry, as listed in Alexandria via LeMat-Bulk.

a b c (Å): 6.751 6.751 6.751
angles (deg): 90.00 90.00 90.00
Space group F-43m (No. 216)
Symmetry-distinct sites (fractional):
La1 0.000 0.000 0.000 (multiplicity 4)
Mn1 0.000 0.000 0.500 (multiplicity 4)
Pt1 0.250 0.250 0.250 (multiplicity 4)

Output
The formation energy from the elements comes out at -350 meV per atom.